A) This record from the Alexandria database describes a crystal of Be4Te relaxed with PBEsol. The functional is meta-GGA SCAN.

POSCAR file:
```
Be4Te
1.0
-2.7655 2.7655 2.7655
2.7655 -2.7655 2.7655
2.7655 2.7655 -2.7655
Be Te
4 1
direct
0.0000 0.0000 0.5000 Be
0.0000 0.5000 0.0000 Be
0.5000 0.0000 0.0000 Be
0.5000 0.5000 0.5000 Be
0.0000 0.0000 0.0000 Te
```

Summary:
spin magnetization	0.01	μB/f.u.
SG	Im-3m



B) This record from the Alexandria database describes a crystal of Be4Te relaxed with PBEsol. The functional is meta-GGA SCAN.

POSCAR file:
```
Be4Te
1.0
-2.9623 2.9623 1.7841
2.9623 -2.9623 1.7841
2.9623 2.9623 -1.7841
Be Te
4 1
direct
0.0697 0.6621 0.7318 Be
0.3379 0.0697 0.4076 Be
0.6621 0.9303 0.5924 Be
0.9303 0.3379 0.2682 Be
0.5000 0.5000 0.0000 Te
```

Summary:
spin magnetization	0.00	μB/f.u.
SG	I4/m



Verdict on stability: A) comes out at the bottom.



A) This record from the Alexandria database describes a crystal of Be2TlTe relaxed with PBEsol. The functional is meta-GGA SCAN.

POSCAR file:
```
Be2TlTe
1.0
4.5658 0.0000 0.0000
0.0000 4.5658 0.0000
0.0000 0.0000 3.5899
Be Tl Te
2 1 1
direct
0.0000 0.5000 0.0000 Be
0.5000 0.0000 0.0000 Be
0.0000 0.0000 0.5000 Tl
0.5000 0.5000 0.5000 Te
```

Summary:
spin magnetization	0.00	μB/f.u.
SG	P4/mmm



B) This record from the Alexandria database describes a crystal of Be2TlTe relaxed with PBEsol. The functional is meta-GGA SCAN.

POSCAR file:
```
Be2TlTe
1.0
-3.0232 3.0232 4.8410
3.0232 -3.0232 4.8410
3.0232 3.0232 -4.8410
Be Tl Te
4 2 2
direct
0.1053 0.6250 0.9803 Be
0.3750 0.3553 0.4803 Be
0.6447 0.1250 0.0197 Be
0.8750 0.8947 0.5197 Be
0.2500 0.7500 0.5000 Tl
0.5000 0.5000 0.0000 Tl
0.0000 0.0000 0.0000 Te
0.7500 0.2500 0.5000 Te
```

Summary:
spin magnetization	0.00	μB/f.u.
SG	I-42d



C) This record from the Alexandria database describes a crystal of Be2TlTe relaxed with PBEsol. The functional is meta-GGA SCAN.

POSCAR file:
```
Be2TlTe
1.0
1.8079 -3.0091 0.0000
1.8079 3.0091 0.0000
0.0000 0.0000 7.3819
Be Tl Te
2 1 1
direct
0.0000 0.0000 0.2360 Be
0.0000 0.0000 0.7640 Be
0.5000 0.5000 0.5000 Tl
0.5000 0.5000 0.0000 Te
```

Summary:
spin magnetization	0.00	μB/f.u.
SG	Cmmm



Verdict on stability: A) comes out at the bottom.